No. 1
A relaxed structure of Mn2Al3Fe, computed with PBE.

Cell lengths 2.8255, 2.8255, 9.5630 Å; angles 90.00, 90.00, 90.00 degrees
With the nearest neighbours (Å) after each atom.
Sites, in units of the cell vectors:
Mn1 0.0000 0.0000 0.1751  8 Al 2.61, 4 Mn 2.83
Mn2 0.0000 0.0000 0.8249  8 Al 2.61, 4 Mn 2.83
Al1 0.5000 0.5000 0.0000  8 Mn 2.61, 4 Al 2.83
Al2 0.5000 0.5000 0.3506  4 Fe 2.46, 4 Mn 2.61
Al3 0.5000 0.5000 0.6494  4 Fe 2.46, 4 Mn 2.61
Fe1 0.0000 0.0000 0.5000  8 Al 2.46

Values from the calculation:
energy relative to the elements = -0.273 eV/atom
VASP energy = -6.612 eV per atom
magnetization = 5.14 μB per formula unit

***

No. 2
A relaxed structure of DyErAlCu, computed with PBE.

Cell lengths 3.4543, 3.4543, 7.3493 Å; angles 90.00, 90.00, 90.00 degrees
With the nearest neighbours (Å) after each atom.
Sites, in units of the cell vectors:
Dy1 0.0000 0.0000 0.0000  4 Cu 3.03, 4 Al 3.13
Er1 0.0000 0.0000 0.4708  4 Cu 2.96, 4 Al 3.11
Al1 0.5000 0.5000 0.7331  4 Er 3.11, 4 Dy 3.13, 4 Al 3.45
Cu1 0.5000 0.5000 0.2433  4 Er 2.96, 4 Dy 3.03

Values from the calculation:
energy relative to the elements = -0.329 eV/atom
VASP energy = -4.580 eV per atom
polymorph energy (0 for the lowest one) = 0.0 kJ per mole of atoms
magnetization = 0.00 μB per formula unit

***

No. 3
A relaxed structure of Ba2Al6Si3, computed with PBE.

Cell lengths 8.1356, 8.1356, 4.2629 Å; angles 90.00, 90.00, 120.00 degrees
With the nearest neighbours (Å) after each atom.
Sites, in units of the cell vectors:
Ba1 0.3333 0.6667 0.0000  6 Si 3.35, 9 Al 3.47-3.63
Ba2 0.6667 0.3333 0.0000  6 Si 3.35, 9 Al 3.47-3.63
Al1 0.0000 0.2841 0.5000  3 Si 2.71-2.84, 4 Al 2.95
Al2 0.0000 0.8139 0.0000  2 Si 2.59, 2 Al 2.62
Al3 0.1861 0.1861 0.0000  2 Si 2.59, 2 Al 2.62
Al4 0.2841 0.0000 0.5000  3 Si 2.71-2.84, 4 Al 2.95
Al5 0.7159 0.7159 0.5000  3 Si 2.71-2.84, 4 Al 2.95
Al6 0.8139 0.0000 0.0000  2 Si 2.59, 2 Al 2.62
Si1 0.0000 0.6337 0.5000  5 Al 2.59-2.84
Si2 0.3663 0.3663 0.5000  5 Al 2.59-2.84
Si3 0.6337 0.0000 0.5000  5 Al 2.59-2.84

Values from the calculation:
VASP energy = -4.004 eV per atom
magnetization = 0.00 μB per formula unit

***

No. 4
A relaxed structure of Mg2In4BiPb2, computed with PBE.

Cell lengths 3.4566, 3.4566, 24.1006 Å; angles 90.00, 90.00, 120.00 degrees
With the nearest neighbours (Å) after each atom.
Sites, in units of the cell vectors:
Mg1 0.0000 0.0000 0.0000  6 In 3.10-3.12, 6 Mg 3.46
Mg2 0.3333 0.6667 0.3075  6 In 3.11-3.13, 6 Mg 3.46
In1 0.0000 0.0000 0.2072  3 Mg 3.13, 9 In 3.27-3.46
In2 0.0000 0.0000 0.4067  3 Mg 3.11, 1 Pb 3.13, 6 In 3.46
In3 0.3333 0.6667 0.0996  3 Mg 3.12, 9 In 3.27-3.46
In4 0.3333 0.6667 0.9018  3 Mg 3.10, 3 Pb 3.41, 6 In 3.46
Bi1 0.3333 0.6667 0.6614  6 Bi 3.46, 6 Pb 3.61-3.63
Pb1 0.0000 0.0000 0.5366  1 In 3.13, 6 Pb 3.46
Pb2 0.0000 0.0000 0.7870  3 In 3.41, 6 Pb 3.46, 3 Bi 3.63

Values from the calculation:
energy relative to the elements = 0.014 eV/atom
VASP energy = -2.812 eV per atom
magnetization = 0.00 μB per formula unit

***

No. 5
A relaxed structure of Tm2Sc2Cd, computed with PBE.

Cell lengths 12.5593, 12.5593, 12.5593 Å; angles 157.78, 157.78, 31.63 degrees
With the nearest neighbours (Å) after each atom.
Sites, in units of the cell vectors:
Tm1 0.0479 0.2979 0.7500  2 Cd 3.05, 2 Tm 3.35, 2 Sc 3.37
Tm2 0.2979 0.0479 0.2500  2 Cd 3.05, 2 Tm 3.35, 2 Sc 3.37
Tm3 0.7021 0.9521 0.7500  2 Cd 3.05, 2 Tm 3.35, 2 Sc 3.37
Tm4 0.9521 0.7021 0.2500  2 Cd 3.05, 2 Tm 3.35, 2 Sc 3.37
Sc1 0.2009 0.4509 0.7500  2 Cd 3.04, 2 Tm 3.37, 2 Sc 3.39
Sc2 0.4509 0.2009 0.2500  2 Cd 3.04, 2 Tm 3.37, 2 Sc 3.39
Sc3 0.5491 0.7991 0.7500  2 Cd 3.04, 2 Tm 3.37, 2 Sc 3.39
Sc4 0.7991 0.5491 0.2500  2 Cd 3.04, 2 Tm 3.37, 2 Sc 3.39
Cd1 0.1250 0.8750 0.2500  4 Sc 3.04, 4 Tm 3.05
Cd2 0.8750 0.1250 0.7500  4 Sc 3.04, 4 Tm 3.05

Values from the calculation:
energy relative to the elements = 0.101 eV/atom
VASP energy = -4.404 eV per atom
polymorph energy (0 for the lowest one) = 15.3 kJ per mole of atoms
magnetization = 0.01 μB per formula unit

***

No. 6
A relaxed structure of AlCr2FeCo, computed with PBE.

Cell lengths 4.5744, 4.5744, 4.2138 Å; angles 90.00, 90.00, 90.00 degrees
With the nearest neighbours (Å) after each atom.
Sites, in units of the cell vectors:
Al1 0.0000 0.0000 0.0000  2 Co 2.11, 4 Cr 2.29
Cr1 0.0000 0.5000 0.0000  2 Al 2.29
Cr2 0.5000 0.0000 0.0000  2 Al 2.29
Fe1 0.5000 0.5000 0.5000  8 Cr 3.11, 4 Co 3.23
Co1 0.0000 0.0000 0.5000  2 Al 2.11

Values from the calculation:
energy relative to the elements = 1.476 eV/atom
VASP energy = -6.236 eV per atom
magnetization = 11.48 μB per formula unit

***

No. 7
A relaxed structure of Pm3Sm3ErSe8, computed with PBE.

Cell lengths 8.3342, 8.3342, 8.3342 Å; angles 59.94, 59.94, 59.94 degrees
With the nearest neighbours (Å) after each atom.
Sites, in units of the cell vectors:
Pm1 0.0000 0.5000 0.5000  6 Se 2.95
Pm2 0.5000 0.0000 0.5000  6 Se 2.95
Pm3 0.5000 0.5000 0.0000  6 Se 2.95
Sm1 0.0000 0.0000 0.5000  6 Se 2.94
Sm2 0.0000 0.5000 0.0000  6 Se 2.94
Sm3 0.5000 0.0000 0.0000  6 Se 2.94
Er1 0.5000 0.5000 0.5000  6 Se 2.90
Se1 0.2493 0.2493 0.2493  3 Sm 2.94, 3 Pm 2.95
Se2 0.2521 0.7464 0.7464  1 Er 2.90, 2 Sm 2.94, 2 Pm 2.95
Se3 0.2536 0.2536 0.7479  1 Er 2.90, 2 Sm 2.94, 2 Pm 2.95
Se4 0.2536 0.7479 0.2536  1 Er 2.90, 2 Sm 2.94, 2 Pm 2.95
Se5 0.7464 0.2521 0.7464  1 Er 2.90, 2 Sm 2.94, 2 Pm 2.95
Se6 0.7464 0.7464 0.2521  1 Er 2.90, 2 Sm 2.94, 2 Pm 2.95
Se7 0.7479 0.2536 0.2536  1 Er 2.90, 2 Sm 2.94, 2 Pm 2.95
Se8 0.7507 0.7507 0.7507  3 Sm 2.94, 3 Pm 2.95

Values from the calculation:
VASP energy = -5.926 eV per atom
magnetization = 0.00 μB per formula unit

***

No. 8
A relaxed structure of BaCrHg2, computed with PBE.

Cell lengths 3.9348, 3.9348, 7.5014 Å; angles 90.00, 90.00, 90.00 degrees
With the nearest neighbours (Å) after each atom.
Sites, in units of the cell vectors:
Ba1 0.0000 0.0000 0.0000  5 Hg 3.44-3.50, 4 Cr 3.78
Cr1 0.5000 0.5000 0.3407  5 Hg 2.83-2.92
Hg1 0.0000 0.0000 0.4585  4 Cr 2.92
Hg2 0.5000 0.5000 0.7178  1 Cr 2.83

Values from the calculation:
energy relative to the elements = 0.148 eV/atom
VASP energy = -2.889 eV per atom
magnetization = 4.33 μB per formula unit

***

No. 9
A relaxed structure of Tm4SbSe3, computed with PBE.

Cell lengths 7.1050, 7.1050, 4.0984 Å; angles 90.00, 90.00, 109.36 degrees
With the nearest neighbours (Å) after each atom.
Sites, in units of the cell vectors:
Tm1 0.2358 0.2358 0.5000  4 Se 2.82-2.90, 2 Sb 2.98
Tm2 0.2429 0.7571 0.0000  5 Se 2.82-2.90, 1 Sb 2.98
Tm3 0.7571 0.2429 0.0000  5 Se 2.82-2.90, 1 Sb 2.98
Tm4 0.7642 0.7642 0.5000  4 Se 2.82-2.90, 2 Sb 2.98
Sb1 0.5000 0.5000 0.0000  6 Tm 2.98
Se1 0.0000 0.0000 0.0000  6 Tm 2.82
Se2 0.0000 0.5000 0.5000  6 Tm 2.90
Se3 0.5000 0.0000 0.5000  6 Tm 2.90

Values from the calculation:
VASP energy = -5.569 eV per atom
magnetization = 0.00 μB per formula unit

***

No. 10
A relaxed structure of Mg2Ga2Br7, computed with PBE.

Cell lengths 7.7634, 7.7634, 7.0046 Å; angles 93.70, 93.70, 111.50 degrees
With the nearest neighbours (Å) after each atom.
Sites, in units of the cell vectors:
Mg1 0.2270 0.2270 0.1092  5 Br 2.58-2.88
Mg2 0.7730 0.7730 0.8908  5 Br 2.58-2.88
Ga1 0.1956 0.8044 0.5000  6 Br 2.87-3.16
Ga2 0.8044 0.1956 0.5000  6 Br 2.87-3.16
Br1 0.0765 0.0765 0.7685  2 Mg 2.59-2.88
Br2 0.0847 0.4362 0.2874  1 Mg 2.58, 1 Ga 2.87
Br3 0.4362 0.0847 0.2874  1 Mg 2.58, 1 Ga 2.87
Br4 0.5000 0.5000 0.0000  2 Mg 2.59
Br5 0.5638 0.9153 0.7126  1 Mg 2.58, 1 Ga 2.87
Br6 0.9153 0.5638 0.7126  1 Mg 2.58, 1 Ga 2.87
Br7 0.9235 0.9235 0.2315  2 Mg 2.59-2.88

Values from the calculation:
VASP energy = -2.851 eV per atom
magnetization = 0.00 μB per formula unit

***

No. 11
A relaxed structure of TaTl2W, computed with PBE.

Cell lengths 5.3394, 5.3394, 5.3394 Å; angles 133.13, 133.13, 68.45 degrees
With the nearest neighbours (Å) after each atom.
Sites, in units of the cell vectors:
Ta1 0.0000 0.0000 0.0000  8 Tl 3.00-3.06, 4 W 3.06
Tl1 0.2500 0.7500 0.5000  4 W 3.00, 4 Tl 3.06, 4 Ta 3.06
Tl2 0.5000 0.5000 0.0000  4 Ta 3.00, 4 Tl 3.06, 4 W 3.06
W1 0.7500 0.2500 0.5000  8 Tl 3.00-3.06, 4 Ta 3.06

Values from the calculation:
energy relative to the elements = 0.941 eV/atom
VASP energy = -6.443 eV per atom
polymorph energy (0 for the lowest one) = 41.1 kJ per mole of atoms
magnetization = 0.00 μB per formula unit

***

No. 12
A relaxed structure of AuIN2, computed with PBE.

Cell lengths 4.0332, 8.0433, 8.8336 Å; angles 88.14, 77.20, 89.85 degrees
With the nearest neighbours (Å) after each atom.
Sites, in units of the cell vectors:
Au1 0.9998 0.2500 0.0004  4 I 2.84-2.85
Au2 0.0002 0.7500 0.9996  4 I 2.84-2.85
I1 0.5000 0.0000 0.0000  4 Au 2.84-2.85
I2 0.5000 0.5000 0.0000  4 Au 2.84-2.85
N1 0.2351 0.3075 0.5400  1 N 1.11
N2 0.2599 0.1951 0.4680  1 N 1.11
N3 0.7401 0.8049 0.5320  1 N 1.11
N4 0.7649 0.6925 0.4600  1 N 1.11

Values from the calculation:
VASP energy = -5.288 eV per atom
polymorph energy (0 for the lowest one) = 0.0 kJ per mole of atoms
magnetization = 0.00 μB per formula unit